(1)
Here is MgCS3 after structural relaxation from Alexandria. Energies are from GGA-PBE.

a = 4.861 Å, b = 4.861 Å, c = 4.861 Å
α = 90.00°, β = 90.00°, γ = 90.00°
Site moments in Bohr magnetons follow the coordinates.
Element x y z (fractional)
S1 0.000 0.000 0.500  0.76
S2 0.000 0.500 0.000  0.78
C1 0.500 0.500 0.500  -0.77
S3 0.500 0.000 0.000  0.69
Mg1 0.000 0.000 0.000  -0.01

Results
**Space-group type**: Pm-3m
**Energy relative to the lowest polymorph listed for this composition**: 988 meV per atom


(2)
Here is Sm4CoCuBr2 after structural relaxation from Alexandria. Energies are from GGA-PBE.

a = 4.039 Å, b = 7.019 Å, c = 8.009 Å
α = 106.94°, β = 90.00°, γ = 90.00°
Element x y z (fractional)
Br1 0.000 0.500 0.500
Sm1 0.500 0.746 0.803
Co1 0.500 0.500 0.000
Sm2 0.500 0.254 0.197
Sm3 0.000 0.276 0.806
Sm4 0.000 0.724 0.194
Br2 0.500 0.000 0.500
Cu1 0.000 0.000 0.000

Results
**E_tot**: -4.87 eV per atom
**Space-group type**: P2/m